# 1
First-principles (meta-GGA SCAN) data for a PBEsol-optimized structure of Ca2ReHg, as listed in Alexandria.

Cell and atoms, written as CIF:
```
data_Ca2ReHg
_space_group_name_H-M_alt 'I 4/m m m'
_space_group_IT_number 139
_space_group_name_Hall '-I 4 2'
_cell_length_a 4.537
_cell_length_b 4.537
_cell_length_c 8.468
_cell_angle_alpha 90.00
_cell_angle_beta 90.00
_cell_angle_gamma 90.00
loop_
_atom_site_label
_atom_site_fract_x
_atom_site_fract_y
_atom_site_fract_z
_atom_site_occupancy
Ca1 0.000 0.500 0.250 1
Re1 0.000 0.000 0.000 1
Hg1 0.000 0.000 0.500 1
```

* energy relative to the elements: 452 meV per atom
* crystal system: tetragonal
* density: 8.90 Mg/m³
* final energy: -39.20 eV/atom

=====

# 2
First-principles (meta-GGA SCAN) data for a PBEsol-optimized structure of CaReTc2Hg, as listed in Alexandria.

Cell and atoms, written as CIF:
```
data_CaReTc2Hg
_space_group_name_H-M_alt 'P 4/m m m'
_space_group_IT_number 123
_space_group_name_Hall '-P 4 2'
_cell_length_a 4.948
_cell_length_b 4.948
_cell_length_c 4.965
_cell_angle_alpha 90.00
_cell_angle_beta 90.00
_cell_angle_gamma 90.00
loop_
_atom_site_label
_atom_site_fract_x
_atom_site_fract_y
_atom_site_fract_z
_atom_site_occupancy
Ca1 0.000 0.000 0.000 1
Re1 0.500 0.500 0.000 1
Tc1 0.000 0.500 0.500 1
Hg1 0.500 0.500 0.500 1
```

* energy relative to the elements: 2211 meV per atom
* crystal system: tetragonal
* density: 8.51 Mg/m³
* final energy: -41.60 eV/atom

=====

# 3
First-principles (meta-GGA SCAN) data for a PBEsol-optimized structure of CaHgRu, as listed in Alexandria.

Cell and atoms, written as CIF:
```
data_CaHgRu
_space_group_name_H-M_alt 'P -6 m 2'
_space_group_IT_number 187
_space_group_name_Hall 'P -6 2'
_cell_length_a 4.6427
_cell_length_b 4.6427
_cell_length_c 3.3085
_cell_angle_alpha 90.00
_cell_angle_beta 90.00
_cell_angle_gamma 120.00
loop_
_atom_site_label
_atom_site_fract_x
_atom_site_fract_y
_atom_site_fract_z
_atom_site_occupancy
Ca1 0.0000 0.0000 0.0000 1
Hg1 0.6667 0.3333 0.5000 1
Ru1 0.3333 0.6667 0.5000 1
```

* energy relative to the elements: 163 meV per atom
* crystal system: hexagonal
* density: 9.19 Mg/m³
* final energy: -37.39 eV/atom

=====

# 4
First-principles (meta-GGA SCAN) data for a PBEsol-optimized structure of CaHg2Ru, as listed in Alexandria.

Cell and atoms, written as CIF:
```
data_CaHg2Ru
_space_group_name_H-M_alt 'P 4/m m m'
_space_group_IT_number 123
_space_group_name_Hall '-P 4 2'
_cell_length_a 3.514
_cell_length_b 3.514
_cell_length_c 6.418
_cell_angle_alpha 90.00
_cell_angle_beta 90.00
_cell_angle_gamma 90.00
loop_
_atom_site_label
_atom_site_fract_x
_atom_site_fract_y
_atom_site_fract_z
_atom_site_occupancy
Ca1 0.000 0.000 0.000 1
Hg1 0.500 0.500 0.279 1
Ru1 0.000 0.000 0.500 1
```

* energy relative to the elements: 27 meV per atom
* crystal system: tetragonal
* density: 11.37 Mg/m³
* final energy: -45.18 eV/atom

=====

# 5
First-principles (meta-GGA SCAN) data for a PBEsol-optimized structure of CaHgRu, as listed in Alexandria.

Cell and atoms, written as CIF:
```
data_CaHgRu
_space_group_name_H-M_alt 'P 3 m 1'
_space_group_IT_number 156
_cell_length_a 3.1468
_cell_length_b 3.1468
_cell_length_c 6.9637
_cell_angle_alpha 90.00
_cell_angle_beta 90.00
_cell_angle_gamma 120.00
loop_
_space_group_symop_operation_xyz
'x,y,z'
'-y,x-y,z'
'-x+y,-x,z'
'-y,-x,z'
'-x+y,y,z'
'x,x-y,z'
loop_
_atom_site_label
_atom_site_fract_x
_atom_site_fract_y
_atom_site_fract_z
_atom_site_occupancy
Ca1 0.0000 0.0000 0.0000 1
Hg1 0.3333 0.6667 0.6280 1
Ru1 0.6667 0.3333 0.3139 1
```

* energy relative to the elements: 428 meV per atom
* crystal system: trigonal
* density: 9.50 Mg/m³
* final energy: -37.12 eV/atom

=====

# 6
First-principles (meta-GGA SCAN) data for a PBEsol-optimized structure of CaHgRu2, as listed in Alexandria.

Cell and atoms, written as CIF:
```
data_CaHgRu2
_space_group_name_H-M_alt 'P 4/m m m'
_space_group_IT_number 123
_space_group_name_Hall '-P 4 2'
_cell_length_a 4.011
_cell_length_b 4.011
_cell_length_c 4.255
_cell_angle_alpha 90.00
_cell_angle_beta 90.00
_cell_angle_gamma 90.00
loop_
_atom_site_label
_atom_site_fract_x
_atom_site_fract_y
_atom_site_fract_z
_atom_site_occupancy
Ca1 0.000 0.000 0.000 1
Hg1 0.500 0.500 0.000 1
Ru1 0.000 0.500 0.500 1
```

* energy relative to the elements: 391 meV per atom
* crystal system: tetragonal
* density: 10.74 Mg/m³
* final energy: -36.48 eV/atom

=====

# 7
First-principles (meta-GGA SCAN) data for a PBEsol-optimized structure of CaHg2Ru2, as listed in Alexandria.

Cell and atoms, written as CIF:
```
data_CaHg2Ru2
_space_group_name_H-M_alt 'I 4/m m m'
_space_group_IT_number 139
_space_group_name_Hall '-I 4 2'
_cell_length_a 4.740
_cell_length_b 4.740
_cell_length_c 9.388
_cell_angle_alpha 90.00
_cell_angle_beta 90.00
_cell_angle_gamma 90.00
loop_
_atom_site_label
_atom_site_fract_x
_atom_site_fract_y
_atom_site_fract_z
_atom_site_occupancy
Ca1 0.000 0.000 0.000 1
Hg1 0.000 0.500 0.250 1
Ru1 0.000 0.000 0.384 1
```

* energy relative to the elements: 209 meV per atom
* crystal system: tetragonal
* density: 10.13 Mg/m³
* final energy: -42.92 eV/atom

=====

# 8
First-principles (meta-GGA SCAN) data for a PBEsol-optimized structure of CaHg3Ru, as listed in Alexandria.

Cell and atoms, written as CIF:
```
data_CaHg3Ru
_space_group_name_H-M_alt 'P m -3 m'
_space_group_IT_number 221
_space_group_name_Hall '-P 4 2 3'
_cell_length_a 5.116
_cell_length_b 5.116
_cell_length_c 5.116
_cell_angle_alpha 90.00
_cell_angle_beta 90.00
_cell_angle_gamma 90.00
loop_
_atom_site_label
_atom_site_fract_x
_atom_site_fract_y
_atom_site_fract_z
_atom_site_occupancy
Ca1 0.000 0.000 0.000 1
Hg1 0.000 0.500 0.500 1
Ru1 0.500 0.500 0.500 1
```

* energy relative to the elements: 114 meV per atom
* crystal system: cubic
* density: 9.21 Mg/m³
* final energy: -49.68 eV/atom

=====

# 9
First-principles (meta-GGA SCAN) data for a PBEsol-optimized structure of Ca2HgRu, as listed in Alexandria.

Cell and atoms, written as CIF:
```
data_Ca2HgRu
_space_group_name_H-M_alt 'C 1 m 1'
_space_group_IT_number 8
_cell_length_a 11.379
_cell_length_b 3.564
_cell_length_c 4.882
_cell_angle_alpha 90.00
_cell_angle_beta 114.99
_cell_angle_gamma 90.00
loop_
_space_group_symop_operation_xyz
'x,y,z'
'x,-y,z'
'x+1/2,y+1/2,z'
'x+1/2,-y+1/2,z'
loop_
_atom_site_label
_atom_site_fract_x
_atom_site_fract_y
_atom_site_fract_z
_atom_site_occupancy
Ca1 0.000 0.000 0.000 1
Ca2 0.208 0.000 0.705 1
Hg1 0.272 0.500 0.269 1
Ru1 0.472 0.000 0.474 1
```

* energy relative to the elements: -37 meV per atom
* crystal system: monoclinic
* density: 7.07 Mg/m³
* final energy: -30.62 eV/atom

=====

# 10
First-principles (meta-GGA SCAN) data for a PBEsol-optimized structure of CaHgRu, as listed in Alexandria.

Cell and atoms, written as CIF:
```
data_CaHgRu
_space_group_name_H-M_alt 'F -4 3 m'
_space_group_IT_number 216
_space_group_name_Hall 'F -4 2 3'
_cell_length_a 6.528
_cell_length_b 6.528
_cell_length_c 6.528
_cell_angle_alpha 90.00
_cell_angle_beta 90.00
_cell_angle_gamma 90.00
loop_
_atom_site_label
_atom_site_fract_x
_atom_site_fract_y
_atom_site_fract_z
_atom_site_occupancy
Ca1 0.000 0.000 0.000 1
Hg1 0.250 0.250 0.750 1
Ru1 0.000 0.000 0.500 1
```

* energy relative to the elements: 452 meV per atom
* crystal system: cubic
* density: 8.16 Mg/m³
* final energy: -37.10 eV/atom

=====

# 11
First-principles (meta-GGA SCAN) data for a PBEsol-optimized structure of Ca2HgRu, as listed in Alexandria.

Cell and atoms, written as CIF:
```
data_Ca2HgRu
_space_group_name_H-M_alt 'A m m 2'
_space_group_IT_number 38
_cell_length_a 4.508
_cell_length_b 3.830
_cell_length_c 11.010
_cell_angle_alpha 90.00
_cell_angle_beta 90.00
_cell_angle_gamma 90.00
loop_
_space_group_symop_operation_xyz
'x,y,z'
'-x,-y,z'
'-x,y,z'
'x,-y,z'
'x,y+1/2,z+1/2'
'-x,-y+1/2,z+1/2'
'-x,y+1/2,z+1/2'
'x,-y+1/2,z+1/2'
loop_
_atom_site_label
_atom_site_fract_x
_atom_site_fract_y
_atom_site_fract_z
_atom_site_occupancy
Ca1 0.000 0.000 0.000 1
Ca2 0.500 0.000 0.294 1
Hg1 0.000 0.000 0.716 1
Ru1 0.500 0.000 0.576 1
```

* energy relative to the elements: -92 meV per atom
* crystal system: orthorhombic
* density: 6.67 Mg/m³
* final energy: -30.67 eV/atom

=====

# 12
First-principles (meta-GGA SCAN) data for a PBEsol-optimized structure of Ca2HgRu, as listed in Alexandria.

Cell and atoms, written as CIF:
```
data_Ca2HgRu
_space_group_name_H-M_alt 'R -3 m'
_space_group_IT_number 166
_space_group_name_Hall '-R 3 2"'
_cell_length_a 3.3854
_cell_length_b 3.3854
_cell_length_c 27.8443
_cell_angle_alpha 90.00
_cell_angle_beta 90.00
_cell_angle_gamma 120.00
loop_
_atom_site_label
_atom_site_fract_x
_atom_site_fract_y
_atom_site_fract_z
_atom_site_occupancy
Ca1 0.0000 0.0000 0.2385 1
Hg1 0.0000 0.0000 0.0000 1
Ru1 0.0000 0.0000 0.5000 1
```

* energy relative to the elements: 126 meV per atom
* crystal system: trigonal
* density: 6.88 Mg/m³
* final energy: -30.45 eV/atom